DFT (PBE+U) results for a relaxed Ba2NiF2 crystal.

Computed properties:
- calculated volume (Å³/atom) = 24.72
- energy (eV/atom) = -3.64
- magnetization (μB per formula unit) = 0.0
- distance to the lowest polymorph of the same formula (eV/f.u.) = 0.29
- space group = No. 139
- crystal system = tetragonal

Cell and atoms, written as POSCAR:
```
Ba2NiF2
1.0
5.235 0.000 0.000
0.000 5.235 0.000
0.000 0.000 9.020
Ba Ni F
4 2 4
direct
0.000 0.500 0.250
0.000 0.500 0.750
0.500 0.000 0.250
0.500 0.000 0.750
0.000 0.000 0.000
0.500 0.500 0.500
0.000 0.000 0.327
0.000 0.000 0.673
0.500 0.500 0.173
0.500 0.500 0.827
```

DFT (PBE+U) results for a relaxed Ba2NiF crystal.

Computed properties:
- calculated volume (Å³/atom) = 33.98
- energy (eV/atom) = -2.94
- magnetization (μB per formula unit) = 0.0
- distance to the lowest polymorph of the same formula (eV/f.u.) = 0.00
- space group = No. 122
- crystal system = tetragonal

Cell and atoms, written as POSCAR:
```
Ba2NiF
1.0
6.382 0.000 0.000
0.000 6.382 0.000
0.000 0.000 13.350
Ba Ni F
8 4 4
direct
0.218 0.250 0.125
0.250 0.718 0.375
0.250 0.782 0.875
0.282 0.250 0.625
0.718 0.750 0.625
0.750 0.218 0.875
0.750 0.282 0.375
0.782 0.750 0.125
0.000 0.000 0.500
0.000 0.500 0.750
0.500 0.000 0.250
0.500 0.500 0.000
0.000 0.000 0.000
0.000 0.500 0.250
0.500 0.000 0.750
0.500 0.500 0.500
```

DFT (PBE+U) results for a relaxed Ba2Ni7F18 crystal.

Computed properties:
- calculated volume (Å³/atom) = 12.77
- energy (eV/atom) = -4.62
- magnetization (μB per formula unit) = 13.9
- space group = No. 2
- crystal system = triclinic

Cell and atoms, written as POSCAR:
```
Ba2Ni7F18
1.0
7.006 0.000 0.000
-3.180 6.577 0.000
-0.412 -0.849 7.480
Ba Ni F
2 7 18
direct
0.187 0.307 0.366
0.813 0.693 0.634
0.106 0.722 0.119
0.310 0.124 0.818
0.319 0.616 0.805
0.500 0.000 0.500
0.681 0.384 0.195
0.690 0.876 0.182
0.894 0.278 0.881
0.004 0.078 0.817
0.021 0.441 0.678
0.181 0.487 0.026
0.206 0.826 0.881
0.218 0.992 0.558
0.393 0.230 0.073
0.400 0.395 0.719
0.403 0.872 0.241
0.422 0.719 0.574
0.578 0.281 0.426
0.597 0.128 0.759
0.600 0.605 0.281
0.607 0.770 0.927
0.782 0.008 0.442
0.794 0.174 0.119
0.819 0.513 0.974
0.979 0.559 0.322
0.996 0.922 0.183
```

DFT (PBE+U) results for a relaxed Ba2NiF2 crystal.

Computed properties:
- calculated volume (Å³/atom) = 20.96
- energy (eV/atom) = -3.70
- magnetization (μB per formula unit) = 0.0
- distance to the lowest polymorph of the same formula (eV/f.u.) = 0.00
- space group = No. 127
- crystal system = tetragonal

Cell and atoms, written as POSCAR:
```
Ba2NiF2
1.0
7.766 0.000 0.000
0.000 7.766 0.000
0.000 0.000 3.475
Ba Ni F
4 2 4
direct
0.186 0.314 0.000
0.314 0.814 0.000
0.686 0.186 0.000
0.814 0.686 0.000
0.000 0.000 0.500
0.500 0.500 0.500
0.118 0.618 0.500
0.382 0.118 0.500
0.618 0.882 0.500
0.882 0.382 0.500
```